Entry 1:
PBE KLi3Pb10, optimized geometry; space group = Fm-3m, No. 225; calculated formation energy = -0.0721 eV per atom; uncorrected energy = -0.1179 Ha/atom
1.0
0.000 7.424 7.424
7.424 0.000 7.424
7.424 7.424 0.000
K Li Pb
2 6 20
Direct
0.250 0.250 0.250
0.750 0.750 0.750
0.230 0.230 0.770
0.230 0.770 0.230
0.230 0.770 0.770
0.770 0.230 0.230
0.770 0.230 0.770
0.770 0.770 0.230
0.114 0.114 0.114
0.114 0.114 0.658
0.114 0.658 0.114
0.161 0.500 0.500
0.161 0.500 0.839
0.161 0.839 0.500
0.342 0.886 0.886
0.500 0.161 0.500
0.500 0.161 0.839
0.500 0.500 0.161
0.500 0.500 0.839
0.500 0.839 0.161
0.500 0.839 0.500
0.658 0.114 0.114
0.839 0.161 0.500
0.839 0.500 0.161
0.839 0.500 0.500
0.886 0.342 0.886
0.886 0.886 0.342
0.886 0.886 0.886

Entry 2:
PBE Ho12HfIn3, optimized geometry; space group = P4/mmm, No. 123; calculated formation energy = -0.1745 eV per atom; uncorrected energy = -0.1743 Ha/atom
1.0
4.810 0.000 0.000
0.000 4.810 0.000
0.000 0.000 19.457
Ho Hf In
12 1 3
Direct
0.000 0.000 0.000
0.000 0.000 0.249
0.000 0.000 0.500
0.000 0.000 0.751
0.000 0.500 0.125
0.000 0.500 0.377
0.000 0.500 0.623
0.000 0.500 0.875
0.500 0.000 0.125
0.500 0.000 0.377
0.500 0.000 0.623
0.500 0.000 0.875
0.500 0.500 0.500
0.500 0.500 0.000
0.500 0.500 0.247
0.500 0.500 0.753

Entry 3:
PBE TlFe2Pt, optimized geometry; space group = I4/mmm, No. 139; calculated formation energy = 0.2521 eV per atom; uncorrected energy = -0.2235 Ha/atom
1.0
3.999 0.000 0.000
0.000 3.999 0.000
0.000 0.000 7.866
Tl Fe Pt
2 4 2
Direct
0.000 0.000 0.000
0.500 0.500 0.500
0.000 0.500 0.250
0.000 0.500 0.750
0.500 0.000 0.250
0.500 0.000 0.750
0.000 0.000 0.500
0.500 0.500 0.000